# 1
SrSbSeN2 | GGA-PBE | optimized geometry

## Properties
calculated volume = 98.2 Å³/cell
space group = P4/mmm, No. 123
offset from the most stable computed form = 0.000 eV per atom
formation energy (no corrections) = 24.8 kJ/mol of atoms
electronic total energy = -24.657 eV/cell

a = 4.215 Å, b = 4.215 Å, c = 5.525 Å
α = 90.00°, β = 90.00°, γ = 90.00°
Positions (direct):
1 Sr 0.000 0.000 0.000
2 Sb 0.500 0.500 0.500
3 Se 0.500 0.500 0.000
4 N 0.000 0.500 0.500
5 N 0.500 0.000 0.500

# 2
TcSbSe2N | GGA-PBE | optimized geometry

## Properties
calculated volume = 98.0 Å³/cell
space group = P4/mmm, No. 123
offset from the most stable computed form = 0.000 eV per atom
formation energy (no corrections) = 21.7 kJ/mol of atoms
electronic total energy = -28.660 eV/cell

a = 5.124 Å, b = 5.124 Å, c = 3.733 Å
α = 90.00°, β = 90.00°, γ = 90.00°
Positions (direct):
1 Tc 0.000 0.000 0.000
2 Sb 0.500 0.500 0.500
3 Se 0.000 0.500 0.000
4 Se 0.500 0.000 0.000
5 N 0.000 0.000 0.500

# 3
TcSbSe2N | GGA-PBE | optimized geometry

## Properties
calculated volume = 112.3 Å³/cell
space group = P4/mmm, No. 123
offset from the most stable computed form = 1.066 eV per atom
formation energy (no corrections) = 124.5 kJ/mol of atoms
electronic total energy = -23.330 eV/cell

a = 5.376 Å, b = 5.376 Å, c = 3.886 Å
α = 90.00°, β = 90.00°, γ = 90.00°
Positions (direct):
1 Tc 0.000 0.000 0.000
2 Sb 0.500 0.500 0.500
3 Se 0.000 0.500 0.500
4 Se 0.500 0.000 0.500
5 N 0.500 0.500 0.000

# 4
SbTeSe2N | GGA-PBE | optimized geometry

## Properties
calculated volume = 118.0 Å³/cell
space group = P4/mmm, No. 123
offset from the most stable computed form = 0.025 eV per atom
formation energy (no corrections) = 78.1 kJ/mol of atoms
electronic total energy = -18.511 eV/cell

a = 5.465 Å, b = 5.465 Å, c = 3.949 Å
α = 90.00°, β = 90.00°, γ = 90.00°
Positions (direct):
1 Sb 0.000 0.000 0.000
2 Te 0.500 0.500 0.500
3 Se 0.000 0.500 0.500
4 Se 0.500 0.000 0.500
5 N 0.500 0.500 0.000

# 5
SbTeSe2N | GGA-PBE | optimized geometry

## Properties
calculated volume = 116.0 Å³/cell
space group = P4/mmm, No. 123
offset from the most stable computed form = 0.000 eV per atom
formation energy (no corrections) = 75.7 kJ/mol of atoms
electronic total energy = -18.633 eV/cell

a = 5.443 Å, b = 5.443 Å, c = 3.914 Å
α = 90.00°, β = 90.00°, γ = 90.00°
Positions (direct):
1 Sb 0.000 0.000 0.000
2 Te 0.500 0.500 0.500
3 Se 0.000 0.500 0.000
4 Se 0.500 0.000 0.000
5 N 0.000 0.000 0.500

# 6
ThSbSe2N | GGA-PBE | optimized geometry

## Properties
calculated volume = 245.6 Å³/cell
space group = P4/nmm, No. 129
formation energy (no corrections) = -105.8 kJ/mol of atoms
electronic total energy = -64.641 eV/cell

a = 4.084 Å, b = 4.084 Å, c = 14.721 Å
α = 90.00°, β = 90.00°, γ = 90.00°
Positions (direct):
1 Th 0.250 0.250 0.079
2 Th 0.750 0.750 0.921
3 Sb 0.250 0.250 0.634
4 Sb 0.750 0.750 0.366
5 Se 0.250 0.250 0.393
6 Se 0.250 0.250 0.809
7 Se 0.750 0.750 0.191
8 Se 0.750 0.750 0.607
9 N 0.250 0.750 0.000
10 N 0.750 0.250 0.000

# 7
TiSbSe2N | GGA-PBE | optimized geometry

## Properties
calculated volume = 109.4 Å³/cell
space group = P4/mmm, No. 123
offset from the most stable computed form = 0.936 eV per atom
formation energy (no corrections) = 75.8 kJ/mol of atoms
electronic total energy = -23.386 eV/cell

a = 5.319 Å, b = 5.319 Å, c = 3.865 Å
α = 90.00°, β = 90.00°, γ = 90.00°
Positions (direct):
1 Ti 0.000 0.000 0.000
2 Sb 0.500 0.500 0.500
3 Se 0.000 0.500 0.500
4 Se 0.500 0.000 0.500
5 N 0.500 0.500 0.000

# 8
TiSbSeN2 | GGA-PBE | optimized geometry

## Properties
calculated volume = 83.2 Å³/cell
space group = P4/mmm, No. 123
offset from the most stable computed form = 0.000 eV per atom
formation energy (no corrections) = 26.7 kJ/mol of atoms
electronic total energy = -30.771 eV/cell

a = 3.994 Å, b = 3.994 Å, c = 5.215 Å
α = 90.00°, β = 90.00°, γ = 90.00°
Positions (direct):
1 Ti 0.000 0.000 0.000
2 Sb 0.500 0.500 0.500
3 Se 0.000 0.000 0.500
4 N 0.000 0.500 0.000
5 N 0.500 0.000 0.000

# 9
TiSbSeN2 | GGA-PBE | optimized geometry

## Properties
calculated volume = 85.9 Å³/cell
space group = P4/mmm, No. 123
offset from the most stable computed form = 0.753 eV per atom
formation energy (no corrections) = 99.3 kJ/mol of atoms
electronic total energy = -27.006 eV/cell

a = 3.997 Å, b = 3.997 Å, c = 5.376 Å
α = 90.00°, β = 90.00°, γ = 90.00°
Positions (direct):
1 Ti 0.000 0.000 0.000
2 Sb 0.500 0.500 0.500
3 Se 0.500 0.500 0.000
4 N 0.000 0.500 0.500
5 N 0.500 0.000 0.500

# 10
TiSbSe2N | GGA-PBE | optimized geometry

## Properties
calculated volume = 100.6 Å³/cell
space group = P4/mmm, No. 123
offset from the most stable computed form = 0.000 eV per atom
formation energy (no corrections) = -14.6 kJ/mol of atoms
electronic total energy = -28.067 eV/cell

a = 5.189 Å, b = 5.189 Å, c = 3.734 Å
α = 90.00°, β = 90.00°, γ = 90.00°
Positions (direct):
1 Ti 0.000 0.000 0.000
2 Sb 0.500 0.500 0.500
3 Se 0.000 0.500 0.000
4 Se 0.500 0.000 0.000
5 N 0.000 0.000 0.500

# 11
VSbSeN2 | GGA-PBE | optimized geometry

## Properties
calculated volume = 85.2 Å³/cell
space group = P4/mmm, No. 123
offset from the most stable computed form = 1.035 eV per atom
formation energy (no corrections) = 141.2 kJ/mol of atoms
electronic total energy = -26.061 eV/cell

a = 3.965 Å, b = 3.965 Å, c = 5.423 Å
α = 90.00°, β = 90.00°, γ = 90.00°
Positions (direct):
1 V 0.000 0.000 0.000
2 Sb 0.500 0.500 0.500
3 Se 0.500 0.500 0.000
4 N 0.000 0.500 0.500
5 N 0.500 0.000 0.500

# 12
VSbSeN2 | GGA-PBE | optimized geometry

## Properties
calculated volume = 77.4 Å³/cell
space group = P4/mmm, No. 123
offset from the most stable computed form = 0.000 eV per atom
formation energy (no corrections) = 41.3 kJ/mol of atoms
electronic total energy = -31.234 eV/cell

a = 3.907 Å, b = 3.907 Å, c = 5.070 Å
α = 90.00°, β = 90.00°, γ = 90.00°
Positions (direct):
1 V 0.000 0.000 0.000
2 Sb 0.500 0.500 0.500
3 Se 0.000 0.000 0.500
4 N 0.000 0.500 0.000
5 N 0.500 0.000 0.000

# 13
SbWSeN2 | GGA-PBE | optimized geometry

## Properties
calculated volume = 83.8 Å³/cell
space group = P4/mmm, No. 123
offset from the most stable computed form = 0.000 eV per atom
formation energy (no corrections) = 46.9 kJ/mol of atoms
electronic total energy = -34.780 eV/cell

a = 4.015 Å, b = 4.015 Å, c = 5.200 Å
α = 90.00°, β = 90.00°, γ = 90.00°
Positions (direct):
1 Sb 0.000 0.000 0.000
2 W 0.500 0.500 0.500
3 Se 0.500 0.500 0.000
4 N 0.000 0.500 0.500
5 N 0.500 0.000 0.500

# 14
SbWSeN2 | GGA-PBE | optimized geometry

## Properties
calculated volume = 87.6 Å³/cell
space group = P4/mmm, No. 123
offset from the most stable computed form = 1.379 eV per atom
formation energy (no corrections) = 179.9 kJ/mol of atoms
electronic total energy = -27.886 eV/cell

a = 4.020 Å, b = 4.020 Å, c = 5.423 Å
α = 90.00°, β = 90.00°, γ = 90.00°
Positions (direct):
1 Sb 0.000 0.000 0.000
2 W 0.500 0.500 0.500
3 Se 0.000 0.000 0.500
4 N 0.000 0.500 0.000
5 N 0.500 0.000 0.000

# 15
ZrSbSeN2 | GGA-PBE | optimized geometry

## Properties
calculated volume = 86.4 Å³/cell
space group = P4/mmm, No. 123
offset from the most stable computed form = 0.485 eV per atom
formation energy (no corrections) = 77.7 kJ/mol of atoms
electronic total energy = -28.781 eV/cell

a = 4.053 Å, b = 4.053 Å, c = 5.258 Å
α = 90.00°, β = 90.00°, γ = 90.00°
Positions (direct):
1 Zr 0.000 0.000 0.000
2 Sb 0.500 0.500 0.500
3 Se 0.500 0.500 0.000
4 N 0.000 0.500 0.500
5 N 0.500 0.000 0.500

# 16
ZrSbSeN2 | GGA-PBE | optimized geometry

## Properties
calculated volume = 97.2 Å³/cell
space group = P4/mmm, No. 123
offset from the most stable computed form = 0.000 eV per atom
formation energy (no corrections) = 30.9 kJ/mol of atoms
electronic total energy = -31.205 eV/cell

a = 4.208 Å, b = 4.208 Å, c = 5.488 Å
α = 90.00°, β = 90.00°, γ = 90.00°
Positions (direct):
1 Zr 0.000 0.000 0.000
2 Sb 0.500 0.500 0.500
3 Se 0.000 0.000 0.500
4 N 0.000 0.500 0.000
5 N 0.500 0.000 0.000

# 17
SiSbN2 | GGA-PBE | optimized geometry

## Properties
calculated volume = 48.0 Å³/cell
space group = Fm-3m, No. 225
offset from the most stable computed form = 1.511 eV per atom
formation energy (no corrections) = 137.1 kJ/mol of atoms
electronic total energy = -20.511 eV/cell

a = 4.080 Å, b = 4.080 Å, c = 4.080 Å
α = 60.00°, β = 60.00°, γ = 60.00°
Positions (direct):
1 Si 0.000 0.000 0.000
2 Sb 0.500 0.500 0.500
3 N 0.250 0.250 0.250
4 N 0.750 0.750 0.750

# 18
SiSb2N | GGA-PBE | optimized geometry

## Properties
calculated volume = 184.1 Å³/cell
space group = I-42d, No. 122
offset from the most stable computed form = 0.000 eV per atom
formation energy (no corrections) = 66.0 kJ/mol of atoms
electronic total energy = -38.516 eV/cell

a = 7.460 Å, b = 7.460 Å, c = 7.460 Å
α = 137.96°, β = 137.96°, γ = 60.96°
Positions (direct):
1 Si 0.000 0.000 0.000
2 Si 0.750 0.250 0.500
3 Sb 0.196 0.625 0.071
4 Sb 0.375 0.446 0.571
5 Sb 0.554 0.125 0.929
6 Sb 0.875 0.804 0.429
7 N 0.250 0.750 0.500
8 N 0.500 0.500 0.000

# 19
Si2SbN | GGA-PBE | optimized geometry

## Properties
calculated volume = 135.5 Å³/cell
space group = I-42d, No. 122
offset from the most stable computed form = 0.000 eV per atom
formation energy (no corrections) = 33.6 kJ/mol of atoms
electronic total energy = -43.799 eV/cell

a = 6.689 Å, b = 6.689 Å, c = 6.689 Å
α = 137.41°, β = 137.41°, γ = 61.81°
Positions (direct):
1 Si 0.375 0.232 0.357
2 Si 0.768 0.125 0.143
3 Si 0.875 0.018 0.643
4 Si 0.982 0.625 0.857
5 Sb 0.250 0.750 0.500
6 Sb 0.500 0.500 0.000
7 N 0.000 0.000 0.000
8 N 0.750 0.250 0.500

# 20
SiSb2N4 | GGA-PBE | optimized geometry

## Properties
calculated volume = 78.9 Å³/cell
space group = I4/mmm, No. 139
formation energy (no corrections) = 57.6 kJ/mol of atoms
electronic total energy = -42.792 eV/cell

a = 6.682 Å, b = 6.682 Å, c = 6.682 Å
α = 149.01°, β = 149.01°, γ = 44.40°
Positions (direct):
1 Si 0.000 0.000 0.000
2 Sb 0.352 0.352 0.000
3 Sb 0.648 0.648 0.000
4 N 0.000 0.500 0.500
5 N 0.168 0.168 0.000
6 N 0.500 0.000 0.500
7 N 0.832 0.832 0.000

# 21
Si2SbN | GGA-PBE | optimized geometry

## Properties
calculated volume = 64.0 Å³/cell
space group = Fm-3m, No. 225
offset from the most stable computed form = 1.032 eV per atom
formation energy (no corrections) = 133.2 kJ/mol of atoms
electronic total energy = -17.773 eV/cell

a = 4.489 Å, b = 4.489 Å, c = 4.489 Å
α = 60.00°, β = 60.00°, γ = 60.00°
Positions (direct):
1 Si 0.250 0.250 0.250
2 Si 0.750 0.750 0.750
3 Sb 0.000 0.000 0.000
4 N 0.500 0.500 0.500

# 22
SiSbN2 | GGA-PBE | optimized geometry

## Properties
calculated volume = 47.4 Å³/cell
space group = R-3m, No. 166
offset from the most stable computed form = 0.000 eV per atom
formation energy (no corrections) = -8.7 kJ/mol of atoms
electronic total energy = -26.555 eV/cell

a = 6.458 Å, b = 6.458 Å, c = 6.458 Å
α = 26.53°, β = 26.53°, γ = 26.53°
Positions (direct):
1 Si 0.000 0.000 0.000
2 Sb 0.500 0.500 0.500
3 N 0.383 0.383 0.383
4 N 0.617 0.617 0.617

# 23
SiSbN2 | GGA-PBE | optimized geometry

## Properties
calculated volume = 107.2 Å³/cell
space group = I-42d, No. 122
offset from the most stable computed form = 0.009 eV per atom
formation energy (no corrections) = -7.7 kJ/mol of atoms
electronic total energy = -53.035 eV/cell

a = 5.483 Å, b = 5.483 Å, c = 5.483 Å
α = 124.67°, β = 124.67°, γ = 82.08°
Positions (direct):
1 Si 0.000 0.000 0.000
2 Si 0.750 0.250 0.500
3 Sb 0.250 0.750 0.500
4 Sb 0.500 0.500 0.000
5 N 0.375 0.244 0.369
6 N 0.756 0.125 0.131
7 N 0.875 0.006 0.631
8 N 0.994 0.625 0.869

# 24
SiSb2N | GGA-PBE | optimized geometry

## Properties
calculated volume = 72.2 Å³/cell
space group = Fm-3m, No. 225
offset from the most stable computed form = 0.454 eV per atom
formation energy (no corrections) = 109.8 kJ/mol of atoms
electronic total energy = -17.441 eV/cell

a = 4.674 Å, b = 4.674 Å, c = 4.674 Å
α = 60.00°, β = 60.00°, γ = 60.00°
Positions (direct):
1 Si 0.000 0.000 0.000
2 Sb 0.250 0.250 0.250
3 Sb 0.750 0.750 0.750
4 N 0.500 0.500 0.500

# 25
Ta2SiSbN | GGA-PBE | optimized geometry

## Properties
calculated volume = 85.6 Å³/cell
space group = P4/mmm, No. 123
formation energy (no corrections) = 63.6 kJ/mol of atoms
electronic total energy = -38.279 eV/cell

a = 4.957 Å, b = 4.957 Å, c = 3.485 Å
α = 90.00°, β = 90.00°, γ = 90.00°
Positions (direct):
1 Ta 0.000 0.500 0.000
2 Ta 0.500 0.000 0.000
3 Si 0.000 0.000 0.000
4 Sb 0.500 0.500 0.500
5 N 0.000 0.000 0.500

# 26
SiSbTe2N | GGA-PBE | optimized geometry

## Properties
calculated volume = 111.8 Å³/cell
space group = P4/mmm, No. 123
offset from the most stable computed form = 0.000 eV per atom
formation energy (no corrections) = 27.0 kJ/mol of atoms
electronic total energy = -22.757 eV/cell

a = 5.803 Å, b = 5.803 Å, c = 3.320 Å
α = 90.00°, β = 90.00°, γ = 90.00°
Positions (direct):
1 Si 0.000 0.000 0.000
2 Sb 0.500 0.500 0.500
3 Te 0.000 0.500 0.000
4 Te 0.500 0.000 0.000
5 N 0.000 0.000 0.500

# 27
SiSbTeN2 | GGA-PBE | optimized geometry

## Properties
calculated volume = 82.3 Å³/cell
space group = P4/mmm, No. 123
offset from the most stable computed form = 0.000 eV per atom
formation energy (no corrections) = 101.9 kJ/mol of atoms
electronic total energy = -24.057 eV/cell

a = 3.945 Å, b = 3.945 Å, c = 5.291 Å
α = 90.00°, β = 90.00°, γ = 90.00°
Positions (direct):
1 Si 0.000 0.000 0.000
2 Sb 0.500 0.500 0.500
3 Te 0.000 0.000 0.500
4 N 0.000 0.500 0.000
5 N 0.500 0.000 0.000

# 28
SiSbTe2N | GGA-PBE | optimized geometry

## Properties
calculated volume = 133.1 Å³/cell
space group = P4/mmm, No. 123
offset from the most stable computed form = 0.788 eV per atom
formation energy (no corrections) = 103.0 kJ/mol of atoms
electronic total energy = -18.818 eV/cell

a = 5.821 Å, b = 5.821 Å, c = 3.927 Å
α = 90.00°, β = 90.00°, γ = 90.00°
Positions (direct):
1 Si 0.000 0.000 0.000
2 Sb 0.500 0.500 0.500
3 Te 0.000 0.500 0.500
4 Te 0.500 0.000 0.500
5 N 0.500 0.500 0.000